No. 1
# HfInAu2S (SCAN, PBEsol geometry)
data_HfInAu2S
_chemical_formula_sum 'Hf1 In1 Au2 S1'
_cell_length_a 4.705
_cell_length_b 4.705
_cell_length_c 4.725
_cell_angle_alpha 90.00
_cell_angle_beta 90.00
_cell_angle_gamma 90.00
_space_group_name_H-M_alt 'P 4/m m m'
_space_group_IT_number 123
_space_group_name_Hall '-P 4 2'
loop_
_atom_site_label
_atom_site_fract_x
_atom_site_fract_y
_atom_site_fract_z
_atom_site_occupancy
Hf1 0.000 0.000 0.000 1
In1 0.500 0.500 0.000 1
Au1 0.000 0.500 0.500 1
S1 0.000 0.000 0.500 1
# D(E_F), states/eV per atom: 0.418
# Formation energy without anion corrections, eV per atom: 0.071
# Spin magnetization, μB per cell: 0.0

No. 2
# Hf2Ir2Au (SCAN, PBEsol geometry)
data_Hf2Ir2Au
_chemical_formula_sum 'Hf4 Ir4 Au2'
_cell_length_a 7.516
_cell_length_b 7.516
_cell_length_c 3.109
_cell_angle_alpha 90.00
_cell_angle_beta 90.00
_cell_angle_gamma 90.00
_space_group_name_H-M_alt 'P 4/m b m'
_space_group_IT_number 127
_space_group_name_Hall '-P 4 2ab'
loop_
_atom_site_label
_atom_site_fract_x
_atom_site_fract_y
_atom_site_fract_z
_atom_site_occupancy
Hf1 0.161 0.339 0.000 1
Ir1 0.136 0.636 0.500 1
Au1 0.000 0.000 0.500 1
# Electronic total energy, eV for the cell shown: -682.71
# D(E_F), states/eV per atom: 0.477
# Spin magnetization, μB per cell: 0.0

No. 3
# Hf2MnIrAu (SCAN, PBEsol geometry)
data_Hf2MnIrAu
_chemical_formula_sum 'Hf2 Mn1 Ir1 Au1'
_cell_length_a 4.921
_cell_length_b 4.921
_cell_length_c 4.907
_cell_angle_alpha 90.00
_cell_angle_beta 90.00
_cell_angle_gamma 90.00
_space_group_name_H-M_alt 'P 4/m m m'
_space_group_IT_number 123
_space_group_name_Hall '-P 4 2'
loop_
_atom_site_label
_atom_site_fract_x
_atom_site_fract_y
_atom_site_fract_z
_atom_site_occupancy
Hf1 0.000 0.500 0.000 1
Mn1 0.000 0.000 0.500 1
Ir1 0.500 0.500 0.500 1
Au1 0.500 0.500 0.000 1
# Electronic total energy, eV for the cell shown: -279.01
# D(E_F), states/eV per atom: 0.847
# Spin magnetization, μB per cell: 4.7

No. 4
# Hf2NiIrAu (SCAN, PBEsol geometry)
data_Hf2NiIrAu
_chemical_formula_sum 'Hf2 Ni1 Ir1 Au1'
_cell_length_a 4.865
_cell_length_b 4.865
_cell_length_c 4.512
_cell_angle_alpha 90.00
_cell_angle_beta 90.00
_cell_angle_gamma 90.00
_space_group_name_H-M_alt 'P 4/m m m'
_space_group_IT_number 123
_space_group_name_Hall '-P 4 2'
loop_
_atom_site_label
_atom_site_fract_x
_atom_site_fract_y
_atom_site_fract_z
_atom_site_occupancy
Hf1 0.000 0.500 0.000 1
Ni1 0.000 0.000 0.500 1
Ir1 0.000 0.000 0.000 1
Au1 0.500 0.500 0.500 1
# Electronic total energy, eV for the cell shown: -280.58
# D(E_F), states/eV per atom: 0.591
# Spin magnetization, μB per cell: 0.7

No. 5
# KHf3Au (SCAN, PBEsol geometry)
data_KHf3Au
_chemical_formula_sum 'K1 Hf3 Au1'
_cell_length_a 4.709
_cell_length_b 4.709
_cell_length_c 4.709
_cell_angle_alpha 90.00
_cell_angle_beta 90.00
_cell_angle_gamma 90.00
_space_group_name_H-M_alt 'P m -3 m'
_space_group_IT_number 221
_space_group_name_Hall '-P 4 2 3'
loop_
_atom_site_label
_atom_site_fract_x
_atom_site_fract_y
_atom_site_fract_z
_atom_site_occupancy
K1 0.000 0.000 0.000 1
Hf1 0.000 0.000 0.500 1
Au1 0.500 0.500 0.500 1
# Electronic total energy, eV for the cell shown: -254.89
# D(E_F), states/eV per atom: 1.067
# Spin magnetization, μB per cell: 0.0

No. 6
# Li2HfAu2 (SCAN, PBEsol geometry)
data_Li2HfAu2
_chemical_formula_sum 'Li4 Hf2 Au4'
_cell_length_a 7.430
_cell_length_b 7.430
_cell_length_c 2.795
_cell_angle_alpha 90.00
_cell_angle_beta 90.00
_cell_angle_gamma 90.00
_space_group_name_H-M_alt 'P 4/m b m'
_space_group_IT_number 127
_space_group_name_Hall '-P 4 2ab'
loop_
_atom_site_label
_atom_site_fract_x
_atom_site_fract_y
_atom_site_fract_z
_atom_site_occupancy
Li1 0.110 0.390 0.000 1
Hf1 0.000 0.000 0.000 1
Au1 0.189 0.689 0.500 1
# Electronic total energy, eV for the cell shown: -417.08
# D(E_F), states/eV per atom: 0.430
# Spin magnetization, μB per cell: 0.0

No. 7
# LiHf2PtAu (SCAN, PBEsol geometry)
data_LiHf2PtAu
_chemical_formula_sum 'Li1 Hf2 Pt1 Au1'
_cell_length_a 5.039
_cell_length_b 5.039
_cell_length_c 4.178
_cell_angle_alpha 90.00
_cell_angle_beta 90.00
_cell_angle_gamma 90.00
_space_group_name_H-M_alt 'P 4/m m m'
_space_group_IT_number 123
_space_group_name_Hall '-P 4 2'
loop_
_atom_site_label
_atom_site_fract_x
_atom_site_fract_y
_atom_site_fract_z
_atom_site_occupancy
Li1 0.000 0.000 0.000 1
Hf1 0.000 0.500 0.500 1
Pt1 0.500 0.500 0.000 1
Au1 0.000 0.000 0.500 1
# Electronic total energy, eV for the cell shown: -265.74
# D(E_F), states/eV per atom: 1.302
# Spin magnetization, μB per cell: 0.0

No. 8
# HfMn3Au (SCAN, PBEsol geometry)
data_HfMn3Au
_chemical_formula_sum 'Hf1 Mn3 Au1'
_cell_length_a 4.580
_cell_length_b 4.580
_cell_length_c 4.580
_cell_angle_alpha 90.00
_cell_angle_beta 90.00
_cell_angle_gamma 90.00
_space_group_name_H-M_alt 'P m -3 m'
_space_group_IT_number 221
_space_group_name_Hall '-P 4 2 3'
loop_
_atom_site_label
_atom_site_fract_x
_atom_site_fract_y
_atom_site_fract_z
_atom_site_occupancy
Hf1 0.000 0.000 0.000 1
Mn1 0.000 0.000 0.500 1
Au1 0.500 0.500 0.500 1
# Electronic total energy, eV for the cell shown: -180.98
# D(E_F), states/eV per atom: 0.585
# Spin magnetization, μB per cell: 9.7